Record 1
# NaBi2Pt (PBE, optimized geometry)
data_NaBi2Pt
_cell_length_a 8.7928
_cell_length_b 8.7928
_cell_length_c 6.8922
_cell_angle_alpha 50.37
_cell_angle_beta 50.37
_cell_angle_gamma 90.00
_symmetry_space_group_name_H-M 'P 1'
_symmetry_Int_Tables_number 1
_symmetry_space_group_name_Hall 'P 1'
loop_
_atom_site_label
_atom_site_fract_x
_atom_site_fract_y
_atom_site_fract_z
Na1 0.5000 0.5000 0.0000
Na2 0.2500 0.7500 0.5000
Bi1 0.7068 0.1250 0.2500
Bi2 0.0432 0.6250 0.2500
Bi3 0.3750 0.2932 0.7500
Bi4 0.8750 0.9568 0.7500
Pt1 0.0000 0.0000 0.0000
Pt2 0.7500 0.2500 0.5000
# E above lowest polymorph (eV/atom): 0.1149


Record 2
Below is crystalline AcGaBiIr at its relaxed geometry, with properties calculated at the PBE level.

```
data_AcGaBiIr
_cell_length_a 5.1748
_cell_length_b 5.1748
_cell_length_c 5.1748
_cell_angle_alpha 60.00
_cell_angle_beta 60.00
_cell_angle_gamma 60.00
_symmetry_space_group_name_H-M 'P 1'
_symmetry_Int_Tables_number 1
_symmetry_space_group_name_Hall 'P 1'
loop_
_atom_site_label
_atom_site_fract_x
_atom_site_fract_y
_atom_site_fract_z
Ac1 0.2500 0.2500 0.2500
Ir1 0.0000 0.0000 0.0000
Bi1 0.7500 0.7500 0.7500
Ga1 0.5000 0.5000 0.5000
```


Record 3
Below is crystalline AlPRu at its relaxed geometry, with properties calculated at the PBE level.

```
data_AlPRu
_cell_length_a 5.4212
_cell_length_b 5.4212
_cell_length_c 5.4212
_cell_angle_alpha 148.70
_cell_angle_beta 148.70
_cell_angle_gamma 44.85
_symmetry_space_group_name_H-M 'P 1'
_symmetry_Int_Tables_number 1
_symmetry_space_group_name_Hall 'P 1'
loop_
_atom_site_label
_atom_site_fract_x
_atom_site_fract_y
_atom_site_fract_z
Ru1 0.6836 0.6836 0.0000
Al1 0.0060 0.0060 0.0000
P1 0.3104 0.3104 0.0000
```


Record 4
Below is crystalline CdAg2Au at its relaxed geometry, with properties calculated at the PBE level.

```
data_CdAg2Au
_cell_length_a 5.1691
_cell_length_b 5.1691
_cell_length_c 5.0982
_cell_angle_alpha 79.02
_cell_angle_beta 79.02
_cell_angle_gamma 33.82
_symmetry_space_group_name_H-M 'P 1'
_symmetry_Int_Tables_number 1
_symmetry_space_group_name_Hall 'P 1'
loop_
_atom_site_label
_atom_site_fract_x
_atom_site_fract_y
_atom_site_fract_z
Au1 0.4997 0.4997 0.4986
Ag1 0.0006 0.0006 0.9937
Ag2 0.7515 0.7515 0.7539
Cd1 0.2483 0.2483 0.2538
```


Record 5
Below is crystalline DyPuMg14 at its relaxed geometry, with properties calculated at the PBE level.

```
data_DyPuMg14
_cell_length_a 6.8825
_cell_length_b 6.8825
_cell_length_c 8.1338
_cell_angle_alpha 90.00
_cell_angle_beta 90.00
_cell_angle_gamma 89.97
_symmetry_space_group_name_H-M 'P 1'
_symmetry_Int_Tables_number 1
_symmetry_space_group_name_Hall 'P 1'
loop_
_atom_site_label
_atom_site_fract_x
_atom_site_fract_y
_atom_site_fract_z
Dy1 0.8750 0.8750 0.5000
Pu1 0.3750 0.3750 0.5000
Mg1 0.8750 0.8750 0.0000
Mg2 0.3750 0.3750 0.0000
Mg3 0.8750 0.3750 0.5000
Mg4 0.8750 0.3750 0.0000
Mg5 0.3750 0.8750 0.5000
Mg6 0.3750 0.8750 0.0000
Mg7 0.6253 0.1247 0.2385
Mg8 0.6253 0.1247 0.7615
Mg9 0.1247 0.6253 0.2385
Mg10 0.1247 0.6253 0.7615
Mg11 0.6253 0.6253 0.2385
Mg12 0.6253 0.6253 0.7615
Mg13 0.1247 0.1247 0.2385
Mg14 0.1247 0.1247 0.7615
```


Record 6
# Er2Tm3Zn2 (PBE, optimized geometry)
data_Er2Tm3Zn2
_cell_length_a 5.1799
_cell_length_b 5.1818
_cell_length_c 8.1841
_cell_angle_alpha 108.45
_cell_angle_beta 90.00
_cell_angle_gamma 119.99
_symmetry_space_group_name_H-M 'P 1'
_symmetry_Int_Tables_number 1
_symmetry_space_group_name_Hall 'P 1'
loop_
_atom_site_label
_atom_site_fract_x
_atom_site_fract_y
_atom_site_fract_z
Er1 0.9198 0.8395 0.2592
Er2 0.0802 0.1605 0.7408
Tm1 0.5000 0.0000 0.0000
Tm2 0.6565 0.3129 0.4695
Tm3 0.3435 0.6871 0.5305
Zn1 0.7860 0.5720 0.8579
Zn2 0.2140 0.4280 0.1421
# E above lowest polymorph (eV/atom): 0.0581


Record 7
# Li2IBr (PBE, optimized geometry)
data_Li2IBr
_cell_length_a 4.3658
_cell_length_b 7.5646
_cell_length_c 7.5694
_cell_angle_alpha 80.10
_cell_angle_beta 90.00
_cell_angle_gamma 73.23
_symmetry_space_group_name_H-M 'P 1'
_symmetry_Int_Tables_number 1
_symmetry_space_group_name_Hall 'P 1'
loop_
_atom_site_label
_atom_site_fract_x
_atom_site_fract_y
_atom_site_fract_z
Li1 0.1783 0.3374 0.1976
Li2 0.9215 0.8492 0.4057
Li3 0.6563 0.3810 0.6516
Li4 0.4124 0.8687 0.9394
I1 0.6071 0.4795 0.9918
I2 0.8511 0.9911 0.7260
Br1 0.3582 0.9762 0.2425
Br2 0.1024 0.4888 0.4801
# E above lowest polymorph (eV/atom): 0.0013
# Formation energy without anion corrections (meV/atom): -1374


Record 8
# YMgSc2H (PBE, optimized geometry)
data_YMgSc2H
_cell_length_a 4.6480
_cell_length_b 4.6480
_cell_length_c 4.7218
_cell_angle_alpha 90.00
_cell_angle_beta 90.00
_cell_angle_gamma 90.00
_symmetry_space_group_name_H-M 'P 1'
_symmetry_Int_Tables_number 1
_symmetry_space_group_name_Hall 'P 1'
loop_
_atom_site_label
_atom_site_fract_x
_atom_site_fract_y
_atom_site_fract_z
Y1 0.5000 0.5000 0.5000
Sc1 0.0000 0.5000 0.0000
Sc2 0.5000 0.0000 0.0000
Mg1 0.0000 0.0000 0.5000
H1 0.0000 0.0000 0.0000
# E above lowest polymorph (eV/atom): 0.0640


no.,DFT total energy (eV/atom)
1,-3.982
2,-5.209
3,-6.475
4,-2.542
5,-2.554
6,-3.718
7,-3.137
8,-4.881